Record 1
VASP calculation (PBE) on crystalline NdPaTcRu at its relaxed geometry.

Unit cell a=4.9194 b=4.9194 c=4.9194 alpha=60.00 beta=60.00 gamma=60.00
Fractional positions:
Nd 0.0000 0.0000 0.0000
Pa 0.5000 0.5000 0.5000
Tc 0.7500 0.7500 0.7500
Ru 0.2500 0.2500 0.2500

Energy of formation from the pure elements, eV per atom: -0.083
DOS(E_F), states/eV per cell: 4.2

---

Record 2
VASP calculation (PBE) on crystalline AcAl2GaAu at its relaxed geometry.

Unit cell a=6.2488 b=6.2488 c=6.2488 alpha=137.32 beta=137.32 gamma=61.94
Fractional positions:
Ac 0.0000 0.0000 0.0000
Al 0.3772 0.3772 0.0000
Al 0.6228 0.6228 0.0000
Ga 0.2500 0.7500 0.5000
Au 0.7500 0.2500 0.5000

Energy of formation from the pure elements, eV per atom: -0.583
DOS(E_F), states/eV per cell: 1.5

---

Record 3
VASP calculation (PBE) on crystalline CaGa2Au2 at its relaxed geometry.

Unit cell a=7.7088 b=7.7088 c=3.5340 alpha=90.00 beta=90.00 gamma=90.00
Fractional positions:
Ca 0.0000 0.0000 0.0000
Ca 0.5000 0.5000 0.0000
Ga 0.1626 0.3374 0.5000
Ga 0.3374 0.8374 0.5000
Ga 0.6626 0.1626 0.5000
Ga 0.8374 0.6626 0.5000
Au 0.1354 0.6354 0.0000
Au 0.3646 0.1354 0.0000
Au 0.6354 0.8646 0.0000
Au 0.8646 0.3646 0.0000

Energy of formation from the pure elements, eV per atom: -0.331
DOS(E_F), states/eV per cell: 3.3

---

Record 4
VASP calculation (PBE) on crystalline K3Tl3Sb2 at its relaxed geometry.

Unit cell a=9.6925 b=17.9399 c=6.9711 alpha=90.00 beta=90.00 gamma=90.00
Fractional positions:
K 0.0290 0.1056 0.0902
K 0.0290 0.3944 0.0902
K 0.1622 0.2500 0.6413
K 0.3378 0.7500 0.1413
K 0.4710 0.6056 0.5903
K 0.4710 0.8944 0.5903
K 0.5290 0.1056 0.4098
K 0.5290 0.3944 0.4098
K 0.6622 0.2500 0.8587
K 0.8378 0.7500 0.3587
K 0.9710 0.6056 0.9098
K 0.9710 0.8944 0.9098
Tl 0.1800 0.7500 0.6564
Tl 0.1823 0.0535 0.5298
Tl 0.1823 0.4465 0.5298
Tl 0.3177 0.5535 0.0298
Tl 0.3177 0.9465 0.0298
Tl 0.3200 0.2500 0.1564
Tl 0.6800 0.7500 0.8436
Tl 0.6823 0.0535 0.9702
Tl 0.6823 0.4465 0.9702
Tl 0.8177 0.5535 0.4702
Tl 0.8177 0.9465 0.4702
Tl 0.8200 0.2500 0.3436
Sb 0.1223 0.6107 0.4012
Sb 0.1223 0.8893 0.4012
Sb 0.3777 0.1107 0.9012
Sb 0.3777 0.3893 0.9012
Sb 0.6223 0.6107 0.0988
Sb 0.6223 0.8893 0.0988
Sb 0.8777 0.1107 0.5988
Sb 0.8777 0.3893 0.5988

VASP energy, eV for the cell shown: -82.524
DOS(E_F), states/eV per cell: 8.6

---

Record 5
VASP calculation (PBE) on crystalline Nd4Y5Th at its relaxed geometry.

Unit cell a=6.5014 b=6.5014 c=10.5668 alpha=90.33 beta=90.33 gamma=50.66
Fractional positions:
Nd 0.0555 0.0555 0.2518
Nd 0.3360 0.3360 0.2483
Nd 0.6640 0.6640 0.7517
Nd 0.9445 0.9445 0.7482
Y 0.1954 0.1954 0.5665
Y 0.1947 0.1947 0.9324
Y 0.5000 0.5000 0.0000
Y 0.8053 0.8053 0.0676
Y 0.8046 0.8046 0.4335
Th 0.5000 0.5000 0.5000

Energy of formation from the pure elements, eV per atom: 0.187
DOS(E_F), states/eV per cell: 15.2
E above lowest polymorph, meV per atom: 172

---

Record 6
VASP calculation (PBE) on crystalline HfHRuRh2 at its relaxed geometry.

Unit cell a=3.9108 b=3.9108 c=4.1623 alpha=90.00 beta=90.00 gamma=90.00
Fractional positions:
Hf 0.0000 0.0000 0.0000
H 0.0000 0.0000 0.5000
Ru 0.5000 0.5000 0.0000
Rh 0.0000 0.5000 0.5000
Rh 0.5000 0.0000 0.5000

DOS(E_F), states/eV per cell: 3.6
E above lowest polymorph, meV per atom: 83

---

Record 7
VASP calculation (PBE) on crystalline CsNb3Sb at its relaxed geometry.

Unit cell a=5.2770 b=5.2770 c=5.2770 alpha=90.00 beta=90.00 gamma=90.00
Fractional positions:
Cs 0.0000 0.0000 0.0000
Nb 0.0000 0.5000 0.5000
Nb 0.5000 0.0000 0.5000
Nb 0.5000 0.5000 0.0000
Sb 0.5000 0.5000 0.5000

DOS(E_F), states/eV per cell: 10.0
E above lowest polymorph, meV per atom: 0

---

Record 8
VASP calculation (PBE) on crystalline HgN2OF at its relaxed geometry.

Unit cell a=3.5145 b=3.5145 c=5.3075 alpha=90.00 beta=90.00 gamma=90.00
Fractional positions:
Hg 0.0000 0.0000 0.0000
N 0.0000 0.5000 0.5000
N 0.5000 0.0000 0.5000
O 0.5000 0.5000 0.5000
F 0.5000 0.5000 0.0000

VASP energy, eV for the cell shown: -15.459
DOS(E_F), states/eV per cell: 2.1

---

Q: The highest DOS(E_F) belongs to which entry?
A: Nd4Y5Th

---

Q: Among the records above, which one has the highest DOS(E_F)?
A: Nd4Y5Th

---

Q: The highest DOS(E_F) belongs to which entry?
A: Nd4Y5Th

---

Q: Among the records above, which one has the highest DOS(E_F)?
A: Nd4Y5Th